DFT (PBE-GGA) results for a geometry-optimized Pr3ErN structure.

Summary:
- density of states at the Fermi level (states/eV/cell) = 5.5
- space group = Pm-3m (221)
- uncorrected formation energy (kJ/mol of formula units) = -209

Lattice parameters (Å, degrees): 5.181 5.181 5.181 90.00 90.00 90.00
Fractional positions:
1 Pr 0.000 0.500 0.000
2 Pr 0.000 0.000 0.500
3 Pr 0.500 0.000 0.000
4 N 0.000 0.000 0.000
5 Er 0.500 0.500 0.500



DFT (PBE-GGA) results for a geometry-optimized CoReBr2 structure.

Summary:
- density of states at the Fermi level (states/eV/cell) = 7.0
- space group = Cmmm (65)
- uncorrected formation energy (kJ/mol of formula units) = 449
- energy above the lowest structure with this stoichiometry (eV/atom) = 0.854

Lattice parameters (Å, degrees): 3.233 3.233 8.347 90.00 90.00 124.40
Fractional positions:
1 Br 0.000 0.000 0.005
2 Br 0.000 0.000 0.495
3 Co 0.500 0.500 0.250
4 Re 0.500 0.500 0.750



DFT (PBE-GGA) results for a geometry-optimized Ho12TlCu6 structure.

Summary:
- formation energy from the elements (eV/atom) = -0.203
- density of states at the Fermi level (states/eV/cell) = 10.7
- space group = Im-3 (204)

Lattice parameters (Å, degrees): 8.496 8.496 8.496 109.47 109.47 109.47
Fractional positions:
1 Ho 0.297 0.108 0.811
2 Ho 0.297 0.486 0.189
3 Ho 0.703 0.514 0.811
4 Ho 0.703 0.892 0.189
5 Ho 0.108 0.811 0.297
6 Ho 0.486 0.189 0.297
7 Ho 0.514 0.811 0.703
8 Ho 0.892 0.189 0.703
9 Ho 0.811 0.297 0.108
10 Ho 0.189 0.297 0.486
11 Ho 0.811 0.703 0.514
12 Ho 0.189 0.703 0.892
13 Tl 0.000 0.000 0.000
14 Cu 0.376 0.500 0.876
15 Cu 0.624 0.500 0.124
16 Cu 0.500 0.876 0.376
17 Cu 0.500 0.124 0.624
18 Cu 0.876 0.376 0.500
19 Cu 0.124 0.624 0.500